A plane-wave DFT calculation with PBE was carried out for a relaxed structure of MgCd2Ag.

## Properties
E in eV for the cell shown: -13.2
Total magnetization in μB per formula unit: 0.00

CIF file:
```
data_MgCd2Ag
_chemical_formula_sum 'Mg2 Cd4 Ag2'
_cell_length_a 9.962
_cell_length_b 3.204
_cell_length_c 5.213
_cell_angle_alpha 90.00
_cell_angle_beta 100.87
_cell_angle_gamma 90.00
_symmetry_space_group_name_H-M 'C 1 2/m 1'
_symmetry_Int_Tables_number 12
loop_
_symmetry_equiv_pos_as_xyz
'x,y,z'
'-x,-y,-z'
'-x,y,-z'
'x,-y,z'
'x+1/2,y+1/2,z'
'-x+1/2,-y+1/2,-z'
'-x+1/2,y+1/2,-z'
'x+1/2,-y+1/2,z'
loop_
_atom_site_label
_atom_site_fract_x
_atom_site_fract_y
_atom_site_fract_z
Mg1 0.000 0.000 0.000
Cd1 0.247 0.000 0.745
Ag1 0.000 0.500 0.500
```


A plane-wave DFT calculation with PBE was carried out for a relaxed structure of PmCd2TeO6.

## Properties
E in eV for the cell shown: -166.4
Total magnetization in μB per formula unit: 0.00
ΔE_f (raw) in eV/atom: -1.599

CIF file:
```
data_PmCd2TeO6
_chemical_formula_sum 'Pm3 Cd6 Te3 O18'
_cell_length_a 5.7743
_cell_length_b 5.7743
_cell_length_c 15.1881
_cell_angle_alpha 90.00
_cell_angle_beta 90.00
_cell_angle_gamma 120.00
_symmetry_space_group_name_H-M 'R 3'
_symmetry_Int_Tables_number 146
_symmetry_space_group_name_Hall 'R 3'
loop_
_atom_site_label
_atom_site_fract_x
_atom_site_fract_y
_atom_site_fract_z
Pm1 0.0000 0.0000 0.0000
Cd1 0.0000 0.0000 0.2181
Cd2 0.0000 0.0000 0.7284
Te1 0.0000 0.0000 0.5083
O1 0.0168 0.7309 0.5938
O2 0.0440 0.3348 0.1047
```


A plane-wave DFT calculation with PBE was carried out for a relaxed structure of NaGdPt2.

## Properties
E in eV for the cell shown: -30.4
Total magnetization in μB per formula unit: 7.08

CIF file:
```
data_NaGdPt2
_chemical_formula_sum 'Na1 Gd1 Pt2'
_cell_length_a 3.630
_cell_length_b 3.630
_cell_length_c 6.038
_cell_angle_alpha 90.00
_cell_angle_beta 90.00
_cell_angle_gamma 90.00
_symmetry_space_group_name_H-M 'P 4/m m m'
_symmetry_Int_Tables_number 123
_symmetry_space_group_name_Hall '-P 4 2'
loop_
_atom_site_label
_atom_site_fract_x
_atom_site_fract_y
_atom_site_fract_z
Na1 0.000 0.000 0.000
Gd1 0.000 0.000 0.500
Pt1 0.500 0.500 0.247
```


A plane-wave DFT calculation with PBE was carried out for a relaxed structure of HgH2Pb2.

## Properties
E in eV for the cell shown: -25.8
Total magnetization in μB per formula unit: 0.00

CIF file:
```
data_HgH2Pb2
_chemical_formula_sum 'Hg2 H4 Pb4'
_cell_length_a 3.727
_cell_length_b 3.727
_cell_length_c 14.120
_cell_angle_alpha 90.00
_cell_angle_beta 90.00
_cell_angle_gamma 90.00
_symmetry_space_group_name_H-M 'I 4/m m m'
_symmetry_Int_Tables_number 139
_symmetry_space_group_name_Hall '-I 4 2'
loop_
_atom_site_label
_atom_site_fract_x
_atom_site_fract_y
_atom_site_fract_z
Hg1 0.000 0.000 0.000
H1 0.000 0.500 0.250
Pb1 0.000 0.000 0.351
```


A plane-wave DFT calculation with PBE was carried out for a relaxed structure of SbWI2Cl.

## Properties
E in eV for the cell shown: -13.5
Total magnetization in μB per formula unit: 3.80
ΔE_f (raw) in eV/atom: 1.701

CIF file:
```
data_SbWI2Cl
_chemical_formula_sum 'Sb1 W1 I2 Cl1'
_cell_length_a 5.469
_cell_length_b 5.469
_cell_length_c 5.619
_cell_angle_alpha 90.00
_cell_angle_beta 90.00
_cell_angle_gamma 90.00
_symmetry_space_group_name_H-M 'P 4/m m m'
_symmetry_Int_Tables_number 123
_symmetry_space_group_name_Hall '-P 4 2'
loop_
_atom_site_label
_atom_site_fract_x
_atom_site_fract_y
_atom_site_fract_z
Sb1 0.000 0.000 0.000
W1 0.500 0.500 0.000
I1 0.000 0.500 0.500
Cl1 0.000 0.000 0.500
```


A plane-wave DFT calculation with PBE was carried out for a relaxed structure of Cd2SbPb.

## Properties
E in eV for the cell shown: -9.4
Total magnetization in μB per formula unit: 0.00
ΔE_f (raw) in eV/atom: 0.062

CIF file:
```
data_Cd2SbPb
_chemical_formula_sum 'Cd2 Sb1 Pb1'
_cell_length_a 3.400
_cell_length_b 4.377
_cell_length_c 7.220
_cell_angle_alpha 90.00
_cell_angle_beta 90.00
_cell_angle_gamma 90.00
_symmetry_space_group_name_H-M 'P m m 2'
_symmetry_Int_Tables_number 25
loop_
_symmetry_equiv_pos_as_xyz
'x,y,z'
'-x,-y,z'
'-x,y,z'
'x,-y,z'
loop_
_atom_site_label
_atom_site_fract_x
_atom_site_fract_y
_atom_site_fract_z
Cd1 0.000 0.000 0.000
Cd2 0.500 0.500 0.225
Sb1 0.500 0.500 0.785
Pb1 0.000 0.000 0.480
```


A plane-wave DFT calculation with PBE was carried out for a relaxed structure of Rb4RhBr6.

## Properties
E in eV for the cell shown: -70.7
Total magnetization in μB per formula unit: 1.00
ΔE_f (raw) in eV/atom: -1.281

CIF file:
```
data_Rb4RhBr6
_chemical_formula_sum 'Rb8 Rh2 Br12'
_cell_length_a 9.320
_cell_length_b 9.320
_cell_length_c 9.577
_cell_angle_alpha 90.00
_cell_angle_beta 90.00
_cell_angle_gamma 90.00
_symmetry_space_group_name_H-M 'P 4/m n c'
_symmetry_Int_Tables_number 128
_symmetry_space_group_name_Hall '-P 4 2n'
loop_
_atom_site_label
_atom_site_fract_x
_atom_site_fract_y
_atom_site_fract_z
Rb1 0.170 0.330 0.250
Rh1 0.000 0.000 0.000
Br1 0.000 0.000 0.263
Br2 0.091 0.716 0.000
```


A plane-wave DFT calculation with PBE was carried out for a relaxed structure of Cs2BaCd.

## Properties
E in eV for the cell shown: -15.9
Total magnetization in μB per formula unit: 0.00

CIF file:
```
data_Cs2BaCd
_chemical_formula_sum 'Cs8 Ba4 Cd4'
_cell_length_a 12.743
_cell_length_b 12.743
_cell_length_c 7.319
_cell_angle_alpha 90.00
_cell_angle_beta 90.00
_cell_angle_gamma 90.00
_symmetry_space_group_name_H-M 'I -4 2 d'
_symmetry_Int_Tables_number 122
_symmetry_space_group_name_Hall 'I -4 2bw'
loop_
_atom_site_label
_atom_site_fract_x
_atom_site_fract_y
_atom_site_fract_z
Cs1 0.154 0.250 0.125
Ba1 0.000 0.000 0.500
Cd1 0.000 0.000 0.000
```


A plane-wave DFT calculation with PBE was carried out for a relaxed structure of Al2HgP.

## Properties
E in eV for the cell shown: -12.2
Total magnetization in μB per formula unit: 0.00

CIF file:
```
data_Al2HgP
_chemical_formula_sum 'Al2 Hg1 P1'
_cell_length_a 3.605
_cell_length_b 3.846
_cell_length_c 5.706
_cell_angle_alpha 90.00
_cell_angle_beta 90.00
_cell_angle_gamma 90.00
_symmetry_space_group_name_H-M 'P m m m'
_symmetry_Int_Tables_number 47
loop_
_symmetry_equiv_pos_as_xyz
'x,y,z'
'-x,-y,-z'
'-x,-y,z'
'x,y,-z'
'x,-y,-z'
'-x,y,z'
'-x,y,-z'
'x,-y,z'
loop_
_atom_site_label
_atom_site_fract_x
_atom_site_fract_y
_atom_site_fract_z
Al1 0.000 0.000 0.000
Al2 0.000 0.500 0.500
Hg1 0.500 0.000 0.500
P1 0.500 0.500 0.000
```


A plane-wave DFT calculation with PBE was carried out for a relaxed structure of TmBeZn11.

## Properties
E in eV for the cell shown: -48.2
Total magnetization in μB per formula unit: 0.00

CIF file:
```
data_TmBeZn11
_chemical_formula_sum 'Tm2 Be2 Zn22'
_cell_length_a 5.183
_cell_length_b 12.287
_cell_length_c 6.635
_cell_angle_alpha 90.00
_cell_angle_beta 112.34
_cell_angle_gamma 90.00
_symmetry_space_group_name_H-M 'C 1 2/m 1'
_symmetry_Int_Tables_number 12
loop_
_symmetry_equiv_pos_as_xyz
'x,y,z'
'-x,-y,-z'
'-x,y,-z'
'x,-y,z'
'x+1/2,y+1/2,z'
'-x+1/2,-y+1/2,-z'
'-x+1/2,y+1/2,-z'
'x+1/2,-y+1/2,z'
loop_
_atom_site_label
_atom_site_fract_x
_atom_site_fract_y
_atom_site_fract_z
Tm1 0.000 0.000 0.000
Be1 0.000 0.500 0.500
Zn1 0.000 0.000 0.500
Zn2 0.100 0.394 0.222
Zn3 0.189 0.173 0.356
Zn4 0.250 0.250 0.000
```


A plane-wave DFT calculation with PBE was carried out for a relaxed structure of Cs2KRbS.

## Properties
E in eV for the cell shown: -10.5
Total magnetization in μB per formula unit: 0.00
ΔE_f (raw) in eV/atom: -0.514

CIF file:
```
data_Cs2KRbS
_chemical_formula_sum 'Cs2 K1 Rb1 S1'
_cell_length_a 7.072
_cell_length_b 7.072
_cell_length_c 6.388
_cell_angle_alpha 90.00
_cell_angle_beta 90.00
_cell_angle_gamma 90.00
_symmetry_space_group_name_H-M 'P 4/m m m'
_symmetry_Int_Tables_number 123
_symmetry_space_group_name_Hall '-P 4 2'
loop_
_atom_site_label
_atom_site_fract_x
_atom_site_fract_y
_atom_site_fract_z
Cs1 0.000 0.500 0.000
K1 0.000 0.000 0.500
Rb1 0.500 0.500 0.500
S1 0.000 0.000 0.000
```